w.
This record from Alexandria via LeMat-Bulk describes SiP2Cl after structural relaxation. The functional is PBE.

Output
The crystal system is monoclinic. The calculation puts the mass density at 2.20 g/cm³. The density of states at the Fermi level comes out at 0.7 states/eV/f.u.

abc: 7.4100 3.3108 8.2390
angles: 90.00 110.68 90.00
With the nearest neighbours (Å) after each atom.
Space group Cm (No. 8)
Unique sites:
Si 0.0000 0.0000 0.0000 [2 per cell]  1 P 2.29, 2 Cl 2.37
P 0.2878 0.5000 0.1463 [2 per cell]  2 P 2.22, 1 Si 2.29
P 0.4636 0.0000 0.3044 [2 per cell]  2 P 2.22
Cl 0.3548 0.0000 0.7883 [2 per cell]  2 Si 2.37



x.
This record from Alexandria via LeMat-Bulk describes SiP2Cl after structural relaxation. The functional is PBE.

Output
The crystal system is monoclinic. The calculation puts the mass density at 2.63 g/cm³. The density of states at the Fermi level comes out at 1.6 states/eV/f.u.

abc: 10.9498 3.1568 4.6646
angles: 90.00 100.43 90.00
With the nearest neighbours (Å) after each atom.
Space group C2/m (No. 12)
Unique sites:
Si 0.0000 0.0000 0.0000 [2 per cell]  4 Cl 2.82, 4 P 2.84
P 0.2189 0.5000 0.1304 [4 per cell]  2 P 2.18
Cl 0.0000 0.5000 0.5000 [2 per cell]  4 Si 2.82



If you had to bet on the most stable structure above, which would it be? Bet on w.